[1]
Below is a relaxed BaFeRe2 crystal, with properties calculated at the PBE-GGA level.

a b c (Å): 5.358 3.817 3.817
angles (deg): 90.00 90.00 90.00
Each line ends with the local moment (μB).
Sites, in units of the cell vectors:
Re (0.000, 0.000, 0.000)  0.27
Fe (0.500, 0.000, 0.500)  2.46
Ba (0.500, 0.500, 0.000)  -0.10
Re (0.000, 0.500, 0.500)  0.27

Summary:
The value obtained for the relative energy among the computed polymorphs is 1025 meV per atom. The calculation puts the density of states at the Fermi level at 5.1 states/eV/f.u. As for the space group: No. 123.

***

[2]
Below is a relaxed Dy8AlSn2 crystal, with properties calculated at the PBE-GGA level.

a b c (Å): 5.084 6.708 9.956
angles (deg): 104.07 104.79 90.00
Sites, in units of the cell vectors:
Dy (0.591, 0.472, 0.182)
Dy (0.019, 0.775, 0.038)
Dy (0.409, 0.528, 0.818)
Dy (0.981, 0.225, 0.962)
Dy (0.215, 0.319, 0.430)
Sn (0.180, 0.756, 0.361)
Sn (0.820, 0.244, 0.639)
Dy (0.785, 0.681, 0.570)
Dy (0.655, 0.998, 0.309)
Al (0.500, 0.000, 0.000)
Dy (0.345, 0.002, 0.691)

Summary:
The calculation puts the density of states at the Fermi level at 9.2 states/eV/f.u. As for the space group: No. 12.

***

| no. | V (Å³/f.u.) | density (g cm⁻³) | DFT formation energy (eV/f.u.) |
| --- | --- | --- | --- |
| 1 | 78.0 | 12.0 | 6.3 |
| 2 | 317.7 | 8.2 | -3.5 |